<a>
# Tb4HoPd2 | the Alexandria database | PBE | relaxed
# V: 26.8 Å³ per atom
data_Tb4HoPd2
_chemical_formula_sum 'Tb8 Ho2 Pd4'
_cell_length_a 7.837
_cell_length_b 6.375
_cell_length_c 8.152
_cell_angle_alpha 90.00
_cell_angle_beta 112.97
_cell_angle_gamma 90.00
_space_group_name_H-M_alt 'P 1 21/m 1'
_space_group_IT_number 11
_space_group_name_Hall '-P 2yb'
loop_
_atom_site_label
_atom_site_type_symbol
_atom_site_fract_x
_atom_site_fract_y
_atom_site_fract_z
Tb1 Tb 0.021 0.250 0.391
Tb2 Tb 0.244 0.750 0.347
Tb3 Tb 0.408 0.005 0.773
Ho1 Ho 0.157 0.250 0.029
Pd1 Pd 0.230 0.750 0.991
Pd2 Pd 0.382 0.250 0.417

---

<b>
# Tb4HoPd2 | the Alexandria database | PBE | relaxed
# V: 29.4 Å³ per atom
data_Tb4HoPd2
_chemical_formula_sum 'Tb12 Ho3 Pd6'
_cell_length_a 3.9825
_cell_length_b 3.9825
_cell_length_c 44.9176
_cell_angle_alpha 90.00
_cell_angle_beta 90.00
_cell_angle_gamma 120.00
_space_group_name_H-M_alt 'R -3 m'
_space_group_IT_number 166
_space_group_name_Hall '-R 3 2"'
loop_
_atom_site_label
_atom_site_type_symbol
_atom_site_fract_x
_atom_site_fract_y
_atom_site_fract_z
Tb1 Tb 0.0000 0.0000 0.1048
Tb2 Tb 0.0000 0.0000 0.3017
Ho1 Ho 0.0000 0.0000 0.5000
Pd1 Pd 0.0000 0.0000 0.4015

---

Least stable of them? <b>.

---

<a>
# TbHo2Pd2 | the Alexandria database | PBE | relaxed
# V: 25.4 Å³ per atom
data_TbHo2Pd2
_chemical_formula_sum 'Tb2 Ho4 Pd4'
_cell_length_a 6.591
_cell_length_b 6.568
_cell_length_c 6.400
_cell_angle_alpha 90.00
_cell_angle_beta 113.69
_cell_angle_gamma 90.00
_space_group_name_H-M_alt 'C 1 2/m 1'
_space_group_IT_number 12
_space_group_name_Hall '-C 2y'
loop_
_atom_site_label
_atom_site_type_symbol
_atom_site_fract_x
_atom_site_fract_y
_atom_site_fract_z
Tb1 Tb 0.000 0.000 0.000
Ho1 Ho 0.000 0.253 0.500
Pd1 Pd 0.146 0.500 0.216

---

<b>
# TbHo2Pd2 | the Alexandria database | PBE | relaxed
# V: 23.9 Å³ per atom
data_TbHo2Pd2
_chemical_formula_sum 'Tb2 Ho4 Pd4'
_cell_length_a 7.801
_cell_length_b 7.801
_cell_length_c 3.925
_cell_angle_alpha 90.00
_cell_angle_beta 90.00
_cell_angle_gamma 90.00
_space_group_name_H-M_alt 'P 4/m b m'
_space_group_IT_number 127
_space_group_name_Hall '-P 4 2ab'
loop_
_atom_site_label
_atom_site_type_symbol
_atom_site_fract_x
_atom_site_fract_y
_atom_site_fract_z
Tb1 Tb 0.000 0.000 0.000
Ho1 Ho 0.164 0.336 0.500
Pd1 Pd 0.132 0.632 0.000

---

Least stable of them? <a>.

---

<a>
# Tb2HoPd3 | the Alexandria database | PBE | relaxed
# V: 21.7 Å³ per atom
data_Tb2HoPd3
_chemical_formula_sum 'Tb4 Ho2 Pd6'
_cell_length_a 5.019
_cell_length_b 15.065
_cell_length_c 3.437
_cell_angle_alpha 90.00
_cell_angle_beta 90.00
_cell_angle_gamma 90.00
_space_group_name_H-M_alt 'C m m m'
_space_group_IT_number 65
_space_group_name_Hall '-C 2 2'
loop_
_atom_site_label
_atom_site_type_symbol
_atom_site_fract_x
_atom_site_fract_y
_atom_site_fract_z
Tb1 Tb 0.000 0.167 0.000
Ho1 Ho 0.000 0.500 0.000
Pd1 Pd 0.000 0.000 0.500
Pd2 Pd 0.000 0.336 0.500

---

<b>
# Tb2HoPd3 | the Alexandria database | PBE | relaxed
# V: 23.6 Å³ per atom
data_Tb2HoPd3
_chemical_formula_sum 'Tb8 Ho4 Pd12'
_cell_length_a 12.494
_cell_length_b 5.903
_cell_length_c 8.102
_cell_angle_alpha 90.00
_cell_angle_beta 108.47
_cell_angle_gamma 90.00
_space_group_name_H-M_alt 'C 1 2/c 1'
_space_group_IT_number 15
_space_group_name_Hall '-C 2yc'
loop_
_atom_site_label
_atom_site_type_symbol
_atom_site_fract_x
_atom_site_fract_y
_atom_site_fract_z
Tb1 Tb 0.171 0.027 0.081
Ho1 Ho 0.000 0.399 0.250
Pd1 Pd 0.000 0.103 0.750
Pd2 Pd 0.157 0.467 0.585

---

Least stable of them? <b>.

---

<a>
# TbHoZnPd | the Alexandria database | PBE | relaxed
# V: 22.1 Å³ per atom
data_TbHoZnPd
_chemical_formula_sum 'Tb4 Ho4 Zn4 Pd4'
_cell_length_a 7.074
_cell_length_b 7.074
_cell_length_c 7.074
_cell_angle_alpha 90.00
_cell_angle_beta 90.00
_cell_angle_gamma 90.00
_space_group_name_H-M_alt 'F -4 3 m'
_space_group_IT_number 216
_space_group_name_Hall 'F -4 2 3'
loop_
_atom_site_label
_atom_site_type_symbol
_atom_site_fract_x
_atom_site_fract_y
_atom_site_fract_z
Tb1 Tb 0.000 0.000 0.000
Ho1 Ho 0.000 0.000 0.500
Zn1 Zn 0.250 0.250 0.250
Pd1 Pd 0.250 0.250 0.750

---

<b>
# TbHoZnPd | the Alexandria database | PBE | relaxed
# V: 22.1 Å³ per atom
data_TbHoZnPd
_chemical_formula_sum 'Tb1 Ho1 Zn1 Pd1'
_cell_length_a 3.555
_cell_length_b 3.555
_cell_length_c 6.991
_cell_angle_alpha 90.00
_cell_angle_beta 90.00
_cell_angle_gamma 90.00
_space_group_name_H-M_alt 'P 4 m m'
_space_group_IT_number 99
_space_group_name_Hall 'P 4 -2'
loop_
_atom_site_label
_atom_site_type_symbol
_atom_site_fract_x
_atom_site_fract_y
_atom_site_fract_z
Tb1 Tb 0.000 0.000 0.000
Ho1 Ho 0.000 0.000 0.491
Zn1 Zn 0.500 0.500 0.742
Pd1 Pd 0.500 0.500 0.251

---

Least stable of them? <a>.

---

<a>
# HoTe2Pd | the Alexandria database | PBE | relaxed
# V: 26.3 Å³ per atom
data_HoTe2Pd
_chemical_formula_sum 'Ho3 Te6 Pd3'
_cell_length_a 4.1905
_cell_length_b 4.1905
_cell_length_c 20.7280
_cell_angle_alpha 90.00
_cell_angle_beta 90.00
_cell_angle_gamma 120.00
_space_group_name_H-M_alt 'R 3 m'
_space_group_IT_number 160
_space_group_name_Hall 'R 3 -2"'
loop_
_atom_site_label
_atom_site_type_symbol
_atom_site_fract_x
_atom_site_fract_y
_atom_site_fract_z
Ho1 Ho 0.0000 0.0000 0.0000
Te1 Te 0.0000 0.0000 0.2428
Te2 Te 0.0000 0.0000 0.4282
Pd1 Pd 0.0000 0.0000 0.8384

---

<b>
# HoTe2Pd | the Alexandria database | PBE | relaxed
# V: 30.3 Å³ per atom
data_HoTe2Pd
_chemical_formula_sum 'Ho3 Te6 Pd3'
_cell_length_a 3.9430
_cell_length_b 3.9430
_cell_length_c 26.9919
_cell_angle_alpha 90.00
_cell_angle_beta 90.00
_cell_angle_gamma 120.00
_space_group_name_H-M_alt 'R -3 m'
_space_group_IT_number 166
_space_group_name_Hall '-R 3 2"'
loop_
_atom_site_label
_atom_site_type_symbol
_atom_site_fract_x
_atom_site_fract_y
_atom_site_fract_z
Ho1 Ho 0.0000 0.0000 0.0000
Te1 Te 0.0000 0.0000 0.1111
Pd1 Pd 0.0000 0.0000 0.5000

---

Least stable of them? <b>.

---

<a>
# Ho3TePd | the Alexandria database | PBE | relaxed
# V: 28.4 Å³ per atom
data_Ho3TePd
_chemical_formula_sum 'Ho12 Te4 Pd4'
_cell_length_a 16.712
_cell_length_b 4.191
_cell_length_c 9.619
_cell_angle_alpha 90.00
_cell_angle_beta 122.55
_cell_angle_gamma 90.00
_space_group_name_H-M_alt 'C 1 2/m 1'
_space_group_IT_number 12
_space_group_name_Hall '-C 2y'
loop_
_atom_site_label
_atom_site_type_symbol
_atom_site_fract_x
_atom_site_fract_y
_atom_site_fract_z
Ho1 Ho 0.056 0.000 0.390
Ho2 Ho 0.099 0.500 0.962
Ho3 Ho 0.248 0.000 0.335
Te1 Te 0.163 0.000 0.789
Pd1 Pd 0.113 0.500 0.277

---

<b>
# Ho3TePd | the Alexandria database | PBE | relaxed
# V: 29.3 Å³ per atom
data_Ho3TePd
_chemical_formula_sum 'Ho6 Te2 Pd2'
_cell_length_a 8.502
_cell_length_b 3.858
_cell_length_c 9.036
_cell_angle_alpha 90.00
_cell_angle_beta 98.14
_cell_angle_gamma 90.00
_space_group_name_H-M_alt 'P 1 21/m 1'
_space_group_IT_number 11
_space_group_name_Hall '-P 2yb'
loop_
_atom_site_label
_atom_site_type_symbol
_atom_site_fract_x
_atom_site_fract_y
_atom_site_fract_z
Ho1 Ho 0.010 0.250 0.344
Ho2 Ho 0.329 0.250 0.134
Ho3 Ho 0.368 0.250 0.599
Te1 Te 0.310 0.750 0.866
Pd1 Pd 0.269 0.750 0.364

---

Least stable of them? <a>.